Here is AcNd6Tl5 after structural relaxation from Alexandria via LeMat-Bulk. Energies are from PBE.

Properties
* calculated formation energy: -3.221 eV per formula unit
* space group: Cmmm (65)
* theoretical density: 9.35 Mg/m³
* spin magnetization: 0.00 μB per atom
* total energy: -3.981 eV per atom

Cell: 10.2504 5.2637 8.5236 Å, 72.01 80.88 59.11°
Last column: nearest neighbours and their distance in Å.
Positions (direct):
Tl  0.5000  0.5000  0.0000  8 Nd 3.28-3.57
Tl  0.5000  0.1708  0.6584  8 Nd 3.32-3.41, 2 Tl 3.68
Tl  0.0000  0.3492  0.3017  8 Nd 3.45-3.60, 2 Ac 3.59
Tl  0.0000  0.6508  0.6983  8 Nd 3.45-3.60, 2 Ac 3.59
Tl  0.5000  0.8292  0.3416  8 Nd 3.32-3.41, 2 Tl 3.68
Nd  0.7470  0.0786  0.3489  7 Tl 3.32-3.60, 2 Nd 3.60, 1 Ac 3.60
Nd  0.7232  0.7769  0.0000  6 Tl 3.28-3.45, 2 Ac 3.58-3.59
Nd  0.2530  0.5725  0.3489  7 Tl 3.32-3.60, 2 Nd 3.60, 1 Ac 3.60
Nd  0.7470  0.4275  0.6511  7 Tl 3.32-3.60, 2 Nd 3.60, 1 Ac 3.60
Nd  0.2530  0.9214  0.6511  7 Tl 3.32-3.60, 2 Nd 3.60, 1 Ac 3.60
Nd  0.2768  0.2231  0.0000  6 Tl 3.28-3.45, 2 Ac 3.58-3.59
Ac  0.0000  0.0000  0.0000  8 Nd 3.58-3.60, 4 Tl 3.59